The following is a DFT calculation (PBE) of crystalline TaNi2Pt2 at its relaxed geometry.

Values from the calculation:
Total magnetization: 0.00 μB per formula unit
VASP energy: -73.38 eV for the cell shown
Density of states at the Fermi level: 4.8 states/eV/f.u.
Polymorph energy (0 for the lowest one): 1.090 eV per formula unit

a b c (Å): 6.993 6.993 2.912
angles (deg): 90.00 90.00 90.00
Element x y z (fractional)
Ni1 0.372 0.872 0.000
Ta1 0.000 0.000 0.000
Pt1 0.332 0.168 0.500
Pt2 0.668 0.832 0.500
Ta2 0.500 0.500 0.000
Pt3 0.832 0.332 0.500
Pt4 0.168 0.668 0.500
Ni2 0.628 0.128 0.000
Ni3 0.128 0.372 0.000
Ni4 0.872 0.628 0.000